(1)
This record from Alexandria via LeMat-Bulk describes a geometry-optimized Nd2HoErS4 structure. The functional is GGA-PBE.

Structure (POSCAR):
```
Nd2HoErS4
1.0
6.814 0.000 0.000
0.000 3.910 0.000
-2.251 0.000 6.661
Nd Ho Er S
2 1 1 4
Cartesian
0.000 0.000 0.000
3.407 1.955 0.000
-1.125 1.955 3.330
2.281 0.000 3.330
0.020 0.000 4.870
1.149 1.955 1.796
3.414 1.955 4.865
4.543 0.000 1.791
```

## Properties
The uncorrected formation energy comes out at -2.002 eV/atom. The calculation puts the total moment at 0.0 μB per formula unit. As for the space group: P2/m (10).



(2)
This record from Alexandria via LeMat-Bulk describes a geometry-optimized UPaRh2 structure. The functional is GGA-PBE.

Structure (POSCAR):
```
UPaRh2
1.0
1.996 1.152 6.403
-1.996 1.152 6.403
0.000 -2.304 6.403
U Pa Rh
1 1 2
Cartesian
0.000 0.000 0.000
0.000 0.000 9.604
0.000 0.000 4.817
0.000 0.000 14.392
```

## Properties
The calculation puts the total moment at 1.9 μB per formula unit. For the energy above the most stable polymorph in this dataset, the calculation gives 0 meV per atom. The value obtained for the energy relative to the elements is -459 meV/atom. As for the space group: R-3m (166).



(3)
This record from Alexandria via LeMat-Bulk describes a geometry-optimized ScTlTc2H structure. The functional is GGA-PBE.

Structure (POSCAR):
```
ScTlTc2H
1.0
4.057 0.000 0.000
0.000 4.057 0.000
0.000 0.000 4.457
Sc Tl Tc H
1 1 2 1
Cartesian
0.000 0.000 0.000
2.028 2.028 0.000
0.000 2.028 2.228
2.028 0.000 2.228
2.028 2.028 2.228
```

## Properties
The calculation puts the total moment at 0.9 μB per formula unit. As for the total energy: -6.246 eV per atom. As for the space group: P4/mmm (123).